1.
# MnBeSi2

MnBeSi2 after structural relaxation (PBEsol, Alexandria via LeMat-Bulk).

Properties
The calculation puts the total energy at -6.069 eV per atom. For the size of the total moment, the calculation gives 0.080 Bohr magnetons per cell.

Cell: 5.5422 5.5422 5.5422 Å, 90.00 90.00 90.00°
With the nearest neighbours (Å) after each atom.
Space group F-43m (No. 216)
Asymmetric unit:
Mn  0.0000  0.0000  0.0000 x4  4 Si 2.40, 4 Be 2.40
Be  0.2500  0.2500  0.2500 x4  4 Mn 2.40, 4 Si 2.40
Si  0.0000  0.0000  0.5000 x4  4 Be 2.40, 4 Si 2.40
Si  0.2500  0.2500  0.7500 x4  4 Mn 2.40, 4 Si 2.40

***

2.
# ScGeBr3

ScGeBr3 after structural relaxation (PBEsol, Alexandria via LeMat-Bulk).

Properties
The calculation puts the total energy at -4.016 eV per atom. For the size of the total moment, the calculation gives 1.924 Bohr magnetons per cell.

Cell: 5.2228 5.2228 5.2228 Å, 90.00 90.00 90.00°
With the nearest neighbours (Å) after each atom.
Space group Pm-3m (No. 221)
Asymmetric unit:
Sc  0.0000  0.0000  0.0000 x1  6 Br 2.61
Ge  0.5000  0.5000  0.5000 x1  12 Br 3.69
Br  0.0000  0.0000  0.5000 x3  2 Sc 2.61

***

3.
# Be3Os

Be3Os after structural relaxation (PBEsol, Alexandria via LeMat-Bulk).

Properties
The calculation puts the total energy at -6.360 eV per atom. The value obtained for the formation enthalpy at 0 K is -1.22 eV/f.u. For the size of the total moment, the calculation gives 0.000 Bohr magnetons per cell.

Cell: 3.7378 4.5009 4.3819 Å, 90.00 90.00 90.00°
With the nearest neighbours (Å) after each atom.
Space group Pmmn (No. 59, origin choice 2)
Asymmetric unit:
Be  0.2500  0.0039  0.1415 x4  7 Be 2.22-2.29, 3 Os 2.38-2.42
Be  0.2500  0.7500  0.7012 x2  6 Be 2.24-2.28, 4 Os 2.28-2.35
Os  0.2500  0.2500  0.6222 x2  12 Be 2.28-2.53

***

4.
# InHgSb2

InHgSb2 after structural relaxation (PBEsol, Alexandria via LeMat-Bulk).

Properties
The calculation puts the total energy at -3.078 eV per atom. For the energy above the most stable polymorph in this dataset, the calculation gives 0.000 eV per formula unit. For the size of the total moment, the calculation gives 0.000 Bohr magnetons per cell.

Cell: 3.9775 4.8944 10.4790 Å, 90.00 90.00 90.00°
With the nearest neighbours (Å) after each atom.
Space group Immm (No. 71)
Asymmetric unit:
In  0.0000  0.0000  0.0000 x2  4 Hg 3.15, 4 Sb 3.34
Hg  0.0000  0.0000  0.5000 x2  4 In 3.15, 4 Sb 3.24
Sb  0.0000  0.5000  0.2444 x4  4 Sb 3.16, 2 Hg 3.24, 2 In 3.34

***

5.
# BeZn8

BeZn8 after structural relaxation (PBEsol, Alexandria via LeMat-Bulk).

Properties
The calculation puts the total energy at -1.771 eV per atom. The value obtained for the formation enthalpy at 0 K is 0.71 eV/f.u. For the size of the total moment, the calculation gives 0.000 Bohr magnetons per cell.

Cell: 7.9903 7.9903 3.7851 Å, 90.00 90.00 90.00°
With the nearest neighbours (Å) after each atom.
Space group I4/mmm (No. 139)
Asymmetric unit:
Be  0.0000  0.0000  0.0000 x2  12 Zn 2.62-2.63
Zn  0.0000  0.3277  0.0000 x8  1 Be 2.62, 11 Zn 2.65-2.75
Zn  0.1617  0.1617  0.5000 x8  10 Zn 2.58-2.75, 2 Be 2.63

***

6.
# BaVSeS2

BaVSeS2 after structural relaxation (PBEsol, Alexandria via LeMat-Bulk).

Properties
The calculation puts the total energy at -6.225 eV per atom. For the size of the total moment, the calculation gives 2.857 Bohr magnetons per cell.

Cell: 5.6841 6.7157 11.6264 Å, 90.00 90.00 90.00°
With the nearest neighbours (Å) after each atom.
Space group Amm2 (No. 38)
Asymmetric unit:
Ba  0.0000  0.0000  0.0000 x2  4 Se 3.35-3.37, 8 S 3.36-3.51
Ba  0.5000  0.0000  0.3336 x2  8 S 3.29-3.46, 4 Se 3.41
V  0.2560  0.0000  0.6590 x4  4 S 2.32-2.36, 2 Se 2.51
Se  0.0000  0.2428  0.2532 x4  2 V 2.51
S  0.0000  0.0000  0.5035 x2  2 V 2.32
S  0.5000  0.0000  0.8229 x2  2 V 2.36
S  0.5000  0.2455  0.5788 x4  2 V 2.35

***

7.
# Be2BH3O5

Be2BH3O5 after structural relaxation (PBEsol, Alexandria via LeMat-Bulk).

Properties
The calculation puts the total energy at -6.687 eV per atom. For the size of the total moment, the calculation gives 0.000 Bohr magnetons per cell.

Cell: 4.4140 10.4867 4.4280 Å, 90.00 119.83 90.00°
With the nearest neighbours (Å) after each atom.
Space group P2_1 (No. 4)
Asymmetric unit:
Be  0.0110  0.0000  0.0254 x2  4 O 1.61-1.66
Be  0.3415  0.1048  0.6914 x2  4 O 1.62-1.63
B  0.3245  0.5499  0.6415 x2  3 O 1.37
H  0.1139  0.3042  0.8556 x2  1 O 1.04
H  0.2160  0.2901  0.4462 x2  1 O 0.99
H  0.2763  0.8058  0.1457 x2  1 O 1.04
O  0.0143  0.5502  0.6420 x2  1 B 1.37
O  0.0223  0.8419  0.0287 x2  2 H 1.04
O  0.3252  0.5485  0.3315 x2  1 B 1.37
O  0.3385  0.2595  0.6909 x2  1 H 0.99
O  0.3654  0.0527  0.0489 x2  1 B 1.37

***

8.
# Li5Ni5O9F

Li5Ni5O9F after structural relaxation (PBEsol, Alexandria via LeMat-Bulk).

Properties
The calculation puts the total energy at -5.853 eV per atom. For the size of the total moment, the calculation gives 5.808 Bohr magnetons per cell.

Cell: 4.9462 5.7514 6.3831 Å, 102.86 97.17 105.50°
With the nearest neighbours (Å) after each atom.
Space group P1 (No. 1)
Asymmetric unit:
Li  0.0000  0.0000  0.0000 x1  1 F 1.94, 4 O 2.01-2.13
Li  0.1752  0.3916  0.3836 x1  6 O 2.05-2.26
Li  0.3728  0.7844  0.7894 x1  1 F 1.93, 5 O 2.09-2.14
Li  0.5849  0.1984  0.2017 x1  1 F 1.95, 5 O 2.06-2.17
Li  0.7766  0.5998  0.5874 x1  6 O 2.03-2.20
Ni  0.1856  0.8974  0.3930 x1  6 O 1.86-2.07
Ni  0.3776  0.2971  0.7904 x1  5 O 1.88-2.03
Ni  0.5849  0.6983  0.1939 x1  6 O 1.93-2.07
Ni  0.7862  0.1053  0.5888 x1  5 O 1.90-2.00
Ni  0.9828  0.4997  0.9913 x1  5 O 1.88-2.04
O  0.0547  0.4345  0.7057 x1  3 Ni 1.88-2.03, 1 Li 2.03
O  0.0932  0.9731  0.6795 x1  3 Ni 1.92-1.95, 2 Li 2.12-2.13
O  0.2701  0.3550  0.0699 x1  3 Ni 1.90-2.07, 2 Li 2.03-2.09
O  0.2875  0.8392  0.1139 x1  3 Ni 1.89-2.04, 2 Li 2.04-2.10
O  0.4905  0.2460  0.5181 x1  3 Ni 1.88-2.07, 1 Li 2.06
O  0.4929  0.7791  0.4866 x1  3 Ni 1.91-1.96, 2 Li 2.07-2.09
O  0.6689  0.6059  0.9004 x1  3 Ni 1.88-1.96
O  0.8804  0.5490  0.2720 x1  3 Ni 1.90-2.07, 3 Li 2.05-2.12
O  0.9023  0.0297  0.2987 x1  3 Ni 1.86-2.03, 2 Li 2.01-2.06
F  0.6690  0.1014  0.9102 x1  3 Li 1.93-1.95

***

9.
# MgAlAg2

MgAlAg2 after structural relaxation (PBEsol, Alexandria via LeMat-Bulk).

Properties
The calculation puts the total energy at -3.177 eV per atom. The value obtained for the formation enthalpy at 0 K is -0.28 eV/f.u. For the energy above the most stable polymorph in this dataset, the calculation gives 0.531 eV per formula unit. For the size of the total moment, the calculation gives 0.000 Bohr magnetons per cell.

Cell: 6.4806 6.4806 6.4806 Å, 90.00 90.00 90.00°
With the nearest neighbours (Å) after each atom.
Space group F-43m (No. 216)
Asymmetric unit:
Mg  0.0000  0.0000  0.0000 x4  4 Al 2.81, 4 Ag 2.81
Al  0.2500  0.2500  0.7500 x4  4 Mg 2.81, 4 Ag 2.81
Ag  0.0000  0.0000  0.5000 x4  4 Ag 2.81, 4 Al 2.81
Ag  0.2500  0.2500  0.2500 x4  4 Mg 2.81, 4 Ag 2.81

***

10.
# In3Hg5

In3Hg5 after structural relaxation (PBEsol, Alexandria via LeMat-Bulk).

Properties
The calculation puts the total energy at -1.470 eV per atom. The value obtained for the formation enthalpy at 0 K is 0.03 eV/f.u. For the energy above the most stable polymorph in this dataset, the calculation gives 0.189 eV per formula unit. For the size of the total moment, the calculation gives 0.000 Bohr magnetons per cell.

Cell: 8.6731 8.6731 6.0290 Å, 90.00 90.00 120.00°
With the nearest neighbours (Å) after each atom.
Space group P6_3/mcm (No. 193)
Asymmetric unit:
In  0.0000  0.3998  0.2500 x6  7 Hg 3.01-3.34
Hg  0.0000  0.2152  0.7500 x6  3 In 3.01-3.34, 2 Hg 3.23
Hg  0.3333  0.6667  0.0000 x4  2 Hg 3.01, 6 In 3.05

***

11.
# Zn2SiAg

Zn2SiAg after structural relaxation (PBEsol, Alexandria via LeMat-Bulk).

Properties
The calculation puts the total energy at -2.917 eV per atom. For the size of the total moment, the calculation gives 0.000 Bohr magnetons per cell.

Cell: 3.9247 3.9247 7.7837 Å, 90.00 90.00 90.00°
With the nearest neighbours (Å) after each atom.
Space group I4/mmm (No. 139)
Asymmetric unit:
Zn  0.0000  0.5000  0.2500 x4  4 Ag 2.76, 4 Si 2.76, 4 Zn 2.78
Si  0.0000  0.0000  0.0000 x2  8 Zn 2.76, 4 Ag 2.78
Ag  0.0000  0.0000  0.5000 x2  8 Zn 2.76, 4 Si 2.78

***

12.
# NiAs2W

NiAs2W after structural relaxation (PBEsol, Alexandria via LeMat-Bulk).

Properties
The calculation puts the total energy at -6.990 eV per atom. The value obtained for the formation enthalpy at 0 K is 2.22 eV/f.u. For the energy above the most stable polymorph in this dataset, the calculation gives 1.597 eV per formula unit. For the size of the total moment, the calculation gives 0.001 Bohr magnetons per cell.

Cell: 6.1844 6.1844 6.1844 Å, 90.00 90.00 90.00°
With the nearest neighbours (Å) after each atom.
Space group F-43m (No. 216)
Asymmetric unit:
Ni  0.0000  0.0000  0.0000 x4  4 As 2.68, 4 W 2.68
As  0.0000  0.0000  0.5000 x4  4 As 2.68, 4 W 2.68
As  0.2500  0.2500  0.7500 x4  4 As 2.68, 4 Ni 2.68
W  0.2500  0.2500  0.2500 x4  4 As 2.68, 4 Ni 2.68